Density functional theory data (PBE-GGA) for crystalline LaPr2Cd3Ag3 at its relaxed geometry.

Properties
Energy of formation from the pure elements (kJ per mole of atoms): -32.9

Unit cell a=4.0905 b=13.9258 c=8.0453 alpha=90.00 beta=90.00 gamma=90.00
Closest atoms and distances in Å follow each position.
Space group Amm2 (No. 38)
Unique sites:
La1 0.0000 0.0000 0.0000  5 Ag 3.19-3.28, 6 Cd 3.40-3.54
Pr1 0.0000 0.2034 0.3878  5 Ag 3.18-3.28, 6 Cd 3.38-3.52
Cd1 0.5000 0.0000 0.3380  4 Ag 2.90-3.05
Cd2 0.5000 0.1292 0.7196  4 Ag 2.91-3.05
Ag1 0.0000 0.0000 0.5927  6 Cd 2.90-2.91
Ag2 0.5000 0.1672 0.0924  3 Cd 3.01-3.05, 4 Pr 3.18, 2 La 3.19

---

Density functional theory data (PBE-GGA) for crystalline Nd4SmBi5 at its relaxed geometry.

Properties
E_tot (eV/atom): -5.36

Unit cell a=4.5859 b=4.5859 c=32.4177 alpha=90.00 beta=90.00 gamma=90.00
Closest atoms and distances in Å follow each position.
Space group I4/mmm (No. 139)
Unique sites:
Nd1 0.0000 0.0000 0.0998  6 Bi 3.24-3.25
Nd2 0.0000 0.0000 0.3003  6 Bi 3.24-3.25
Sm1 0.0000 0.0000 0.5000  6 Bi 3.22-3.24
Bi1 0.0000 0.0000 0.0000  2 Nd 3.24, 4 Sm 3.24
Bi2 0.0000 0.0000 0.2000  6 Nd 3.24-3.25
Bi3 0.0000 0.0000 0.4006  1 Sm 3.22, 5 Nd 3.24-3.25

---

Density functional theory data (PBE-GGA) for crystalline Sn2TeIr at its relaxed geometry.

Properties
E_tot (eV/atom): -4.60

Unit cell a=7.1154 b=7.1154 c=7.1154 alpha=90.00 beta=90.00 gamma=90.00
Closest atoms and distances in Å follow each position.
Space group F-43m (No. 216)
Unique sites:
Sn1 0.0000 0.0000 0.0000  4 Sn 3.08, 4 Ir 3.08
Sn2 0.2500 0.2500 0.2500  4 Sn 3.08, 4 Te 3.08
Te1 0.0000 0.0000 0.5000  4 Sn 3.08, 4 Ir 3.08
Ir1 0.2500 0.2500 0.7500  4 Sn 3.08, 4 Te 3.08

---

| no. | total magnetic moment (μB per formula unit) |
| --- | --- |
| 1 | 0.04 |
| 2 | 0.02 |
| 3 | 0.00 |